(1)
Material: CdReMo
Method: DFT, GGA-PBE
State: optimized geometry

Unit cell a=4.388 b=4.388 c=4.388 alpha=60.00 beta=60.00 gamma=60.00
Atoms (fractional coordinates):
Cd 0.000 0.000 0.000
Re 0.250 0.250 0.250
Mo 0.500 0.500 0.500

Total magnetic moment = 0.0 μB per formula unit
Total DFT energy (no corrections) = -7.07 eV/atom



(2)
Material: CdRe2Mo
Method: DFT, GGA-PBE
State: optimized geometry

Unit cell a=5.901 b=5.901 c=5.901 alpha=102.08 beta=102.08 gamma=125.56
Atoms (fractional coordinates):
Cd 0.000 0.000 0.000
Cd 0.750 0.250 0.500
Re 0.174 0.625 0.049
Re 0.375 0.424 0.549
Re 0.576 0.125 0.951
Re 0.875 0.826 0.451
Mo 0.250 0.750 0.500
Mo 0.500 0.500 0.000

Total magnetic moment = 0.0 μB per formula unit
Total DFT energy (no corrections) = -8.09 eV/atom



(3)
Material: CdReMo2
Method: DFT, GGA-PBE
State: optimized geometry

Unit cell a=3.293 b=3.293 c=6.284 alpha=90.00 beta=90.00 gamma=90.00
Atoms (fractional coordinates):
Cd 0.000 0.000 0.000
Re 0.500 0.500 0.712
Mo 0.000 0.000 0.505
Mo 0.500 0.500 0.287

Total magnetic moment = 0.0 μB per formula unit
Total DFT energy (no corrections) = -8.33 eV/atom



(4)
Material: CdRe2Mo
Method: DFT, GGA-PBE
State: optimized geometry

Unit cell a=9.565 b=9.565 c=9.565 alpha=17.04 beta=17.04 gamma=17.04
Atoms (fractional coordinates):
Cd 0.000 0.000 0.000
Re 0.244 0.244 0.244
Re 0.756 0.756 0.756
Mo 0.500 0.500 0.500

Total magnetic moment = 0.0 μB per formula unit
Total DFT energy (no corrections) = -8.80 eV/atom



(5)
Material: CdReMo3
Method: DFT, GGA-PBE
State: optimized geometry

Unit cell a=4.771 b=4.771 c=4.771 alpha=90.00 beta=90.00 gamma=90.00
Atoms (fractional coordinates):
Cd 0.000 0.000 0.000
Re 0.500 0.500 0.500
Mo 0.000 0.500 0.500
Mo 0.500 0.000 0.500
Mo 0.500 0.500 0.000

Total magnetic moment = 0.0 μB per formula unit
Total DFT energy (no corrections) = -7.65 eV/atom



(6)
Material: Cd2ReMo
Method: DFT, GGA-PBE
State: optimized geometry

Unit cell a=4.613 b=4.613 c=4.613 alpha=60.00 beta=60.00 gamma=60.00
Atoms (fractional coordinates):
Cd 0.250 0.250 0.250
Cd 0.750 0.750 0.750
Re 0.000 0.000 0.000
Mo 0.500 0.500 0.500

Total magnetic moment = 0.0 μB per formula unit
Total DFT energy (no corrections) = -5.30 eV/atom



(7)
Material: CdRe2Mo
Method: DFT, GGA-PBE
State: optimized geometry

Unit cell a=4.946 b=4.946 c=4.946 alpha=132.49 beta=132.49 gamma=69.46
Atoms (fractional coordinates):
Cd 0.000 0.000 0.000
Re 0.250 0.750 0.500
Re 0.750 0.250 0.500
Mo 0.500 0.500 0.000

Total magnetic moment = 0.0 μB per formula unit
Total DFT energy (no corrections) = -8.59 eV/atom



(8)
Material: Cd2ReMo
Method: DFT, GGA-PBE
State: optimized geometry

Unit cell a=3.296 b=4.419 c=4.809 alpha=90.00 beta=90.00 gamma=90.00
Atoms (fractional coordinates):
Cd 0.000 0.000 0.000
Cd 0.500 0.500 0.000
Re 0.000 0.500 0.500
Mo 0.500 0.000 0.500

Total magnetic moment = 0.0 μB per formula unit
Total DFT energy (no corrections) = -5.69 eV/atom



(9)
Material: CdRe2Mo
Method: DFT, GGA-PBE
State: optimized geometry

Unit cell a=2.821 b=4.067 c=5.748 alpha=90.00 beta=90.00 gamma=90.00
Atoms (fractional coordinates):
Cd 0.000 0.000 0.000
Re 0.000 0.000 0.506
Re 0.500 0.500 0.713
Mo 0.500 0.500 0.280

Total magnetic moment = 0.0 μB per formula unit
Total DFT energy (no corrections) = -8.78 eV/atom



(10)
Material: Cd2ReMo
Method: DFT, GGA-PBE
State: optimized geometry

Unit cell a=5.441 b=5.441 c=2.720 alpha=90.00 beta=90.00 gamma=119.24
Atoms (fractional coordinates):
Cd 0.000 0.500 0.000
Cd 0.500 0.000 0.000
Re 0.000 0.000 0.500
Mo 0.500 0.500 0.500

Total magnetic moment = 0.0 μB per formula unit
Total DFT energy (no corrections) = -5.62 eV/atom



(11)
Material: CdRe2Mo
Method: DFT, GGA-PBE
State: optimized geometry

Unit cell a=3.176 b=3.176 c=6.653 alpha=90.00 beta=90.00 gamma=90.00
Atoms (fractional coordinates):
Cd 0.000 0.000 0.000
Re 0.500 0.500 0.284
Re 0.500 0.500 0.716
Mo 0.000 0.000 0.500

Total magnetic moment = 0.0 μB per formula unit
Total DFT energy (no corrections) = -8.65 eV/atom



(12)
Material: CdReMo2
Method: DFT, GGA-PBE
State: optimized geometry

Unit cell a=2.754 b=2.754 c=9.339 alpha=90.00 beta=90.00 gamma=109.21
Atoms (fractional coordinates):
Cd 0.000 0.000 0.000
Re 0.000 0.000 0.500
Mo 0.500 0.500 0.269
Mo 0.500 0.500 0.731

Total magnetic moment = 0.0 μB per formula unit
Total DFT energy (no corrections) = -8.47 eV/atom



(13)
Material: CdReMo2
Method: DFT, GGA-PBE
State: optimized geometry

Unit cell a=4.950 b=4.950 c=4.950 alpha=132.10 beta=132.10 gamma=70.08
Atoms (fractional coordinates):
Cd 0.000 0.000 0.000
Re 0.500 0.500 0.000
Mo 0.250 0.750 0.500
Mo 0.750 0.250 0.500

Total magnetic moment = 0.0 μB per formula unit
Total DFT energy (no corrections) = -8.25 eV/atom



(14)
Material: CdReMo2
Method: DFT, GGA-PBE
State: optimized geometry

Unit cell a=9.633 b=9.633 c=9.633 alpha=17.04 beta=17.04 gamma=17.04
Atoms (fractional coordinates):
Cd 0.000 0.000 0.000
Re 0.755 0.755 0.755
Mo 0.243 0.243 0.243
Mo 0.496 0.496 0.496

Total magnetic moment = 0.0 μB per formula unit
Total DFT energy (no corrections) = -8.37 eV/atom



(15)
Material: Cd2ReMo
Method: DFT, GGA-PBE
State: optimized geometry

Unit cell a=2.824 b=2.824 c=9.855 alpha=90.00 beta=90.00 gamma=112.64
Atoms (fractional coordinates):
Cd 0.000 0.000 0.000
Cd 0.500 0.500 0.280
Re 0.500 0.500 0.744
Mo 0.000 0.000 0.536

Total magnetic moment = 0.0 μB per formula unit
Total DFT energy (no corrections) = -5.96 eV/atom



(16)
Material: CdReMo2
Method: DFT, GGA-PBE
State: optimized geometry

Unit cell a=4.023 b=4.023 c=4.026 alpha=90.00 beta=90.00 gamma=90.00
Atoms (fractional coordinates):
Cd 0.000 0.000 0.000
Re 0.500 0.500 0.000
Mo 0.000 0.500 0.500
Mo 0.500 0.000 0.500

Total magnetic moment = 0.0 μB per formula unit
Total DFT energy (no corrections) = -8.26 eV/atom